## KRb4O (PBE)

Data for crystalline KRb4O at its relaxed geometry.

The structure belongs to space group Cmc2_1 (No. 36); the cell edges are 4.931, 24.965 and 12.321 Å and the angles 90.00°, 90.00° and 90.00°. Symmetry generates all atoms from K at (0.000, 0.133, 0.000), Rb at (0.000, 0.066, 0.554), Rb at (0.000, 0.317, 0.842), Rb at (0.000, 0.328, 0.155), Rb at (0.000, 0.471, 0.831) and O at (0.000, 0.395, 0.985).

The calculation puts the formation energy from raw total energies at -0.453 eV per atom. The calculation puts the volume at 63.20 Å³/atom. The distance to the lowest polymorph of the same formula is 0.91 kcal/mol of atoms.